(1)
VASP calculation (PBE) on a relaxed structure of CaTlHg.

Output
The formation energy is -0.377 eV/atom. The value obtained for the total moment is 0.0 μB per formula unit.

a = 3.910 Å, b = 15.721 Å, c = 5.416 Å
α = 90.00°, β = 90.00°, γ = 90.00°
Space group Cmcm (No. 63)
Inequivalent atoms, fractional coordinates:
Ca  0.000  0.091  0.250
Tl  0.000  0.233  0.750
Hg  0.000  0.430  0.250

=====

(2)
VASP calculation (PBE) on a relaxed structure of CaTlHg4.

Output
The formation energy is -0.173 eV/atom. The calculation puts the offset from the most stable computed form at 74 meV per atom. The value obtained for the total moment is 0.0 μB per formula unit.

a = 8.658 Å, b = 8.658 Å, c = 8.658 Å
α = 90.00°, β = 90.00°, γ = 90.00°
Space group F-43m (No. 216)
Inequivalent atoms, fractional coordinates:
Ca  0.000  0.000  0.000
Tl  0.250  0.250  0.250
Hg  0.125  0.125  0.625

=====

(3)
VASP calculation (PBE) on a relaxed structure of Ca3TlHg3.

Output
The formation energy is -0.352 eV/atom. The value obtained for the total moment is 0.0 μB per formula unit.

a = 10.367 Å, b = 10.599 Å, c = 7.369 Å
α = 90.00°, β = 90.10°, γ = 90.00°
Space group C2/m (No. 12)
Inequivalent atoms, fractional coordinates:
Ca  0.002  0.000  0.253
Ca  0.250  0.248  0.748
Tl  0.175  0.500  0.993
Hg  0.000  0.253  0.000
Hg  0.000  0.302  0.500
Hg  0.230  0.500  0.503

=====

(4)
VASP calculation (PBE) on a relaxed structure of Ca3Tl5Hg2.

Output
The formation energy is -0.292 eV/atom. The value obtained for the total moment is 0.0 μB per formula unit.

a = 8.384 Å, b = 8.656 Å, c = 8.722 Å
α = 100.78°, β = 93.30°, γ = 111.41°
Space group P-1 (No. 2)
Inequivalent atoms, fractional coordinates:
Ca  0.093  0.079  0.222
Ca  0.122  0.580  0.715
Ca  0.324  0.742  0.173
Tl  0.086  0.334  0.974
Tl  0.116  0.837  0.473
Tl  0.289  0.237  0.679
Tl  0.473  0.365  0.120
Tl  0.498  0.143  0.386
Hg  0.279  0.472  0.408
Hg  0.300  0.971  0.920

=====

(5)
VASP calculation (PBE) on a relaxed structure of CaTlHg.

Output
The formation energy is -0.068 eV/atom. The value obtained for the total moment is 0.0 μB per formula unit.

a = 7.312 Å, b = 7.312 Å, c = 7.312 Å
α = 90.00°, β = 90.00°, γ = 90.00°
Space group F-43m (No. 216)
Inequivalent atoms, fractional coordinates:
Ca  0.000  0.000  0.000
Tl  0.250  0.250  0.750
Hg  0.250  0.250  0.250

=====

(6)
VASP calculation (PBE) on a relaxed structure of Ca2Tl4Hg.

Output
The formation energy is -0.164 eV/atom. The calculation puts the offset from the most stable computed form at 0 meV per atom. The value obtained for the total moment is 0.0 μB per formula unit.

a = 15.570 Å, b = 3.843 Å, c = 7.662 Å
α = 90.00°, β = 110.70°, γ = 90.00°
Space group C2/m (No. 12)
Inequivalent atoms, fractional coordinates:
Ca  0.214  0.000  0.256
Tl  0.072  0.500  0.394
Tl  0.125  0.000  0.786
Hg  0.000  0.000  0.000

=====

(7)
VASP calculation (PBE) on a relaxed structure of Ca2Tl2Hg5.

Output
The formation energy is -0.234 eV/atom. The value obtained for the total moment is 0.0 μB per formula unit.

a = 20.887 Å, b = 5.655 Å, c = 8.597 Å
α = 90.00°, β = 90.00°, γ = 90.00°
Space group Ima2 (No. 46)
Inequivalent atoms, fractional coordinates:
Ca  0.107  0.072  0.000
Tl  0.000  0.000  0.689
Tl  0.250  0.121  0.291
Hg  0.072  0.555  0.844
Hg  0.161  0.559  0.155
Hg  0.250  0.629  0.459

=====

(8)
VASP calculation (PBE) on a relaxed structure of Ca2Tl6Hg.

Output
The formation energy is -0.196 eV/atom. The calculation puts the offset from the most stable computed form at 0 meV per atom. The value obtained for the total moment is 0.0 μB per formula unit.

a = 14.705 Å, b = 4.620 Å, c = 8.176 Å
α = 90.00°, β = 108.97°, γ = 90.00°
Space group C2/m (No. 12)
Inequivalent atoms, fractional coordinates:
Ca  0.054  0.000  0.304
Tl  0.113  0.500  0.659
Tl  0.168  0.000  0.999
Tl  0.228  0.500  0.337
Hg  0.000  0.500  0.000

=====

(9)
VASP calculation (PBE) on a relaxed structure of CaTl4Hg7.

Output
The formation energy is -0.084 eV/atom. The calculation puts the offset from the most stable computed form at 20 meV per atom. The value obtained for the total moment is 0.0 μB per formula unit.

a = 13.216 Å, b = 6.373 Å, c = 9.756 Å
α = 90.00°, β = 119.94°, γ = 90.00°
Space group C2/m (No. 12)
Inequivalent atoms, fractional coordinates:
Ca  0.000  0.000  0.000
Tl  0.001  0.500  0.668
Tl  0.246  0.000  0.668
Hg  0.000  0.500  0.000
Hg  0.001  0.000  0.333
Hg  0.247  0.000  0.002
Hg  0.247  0.000  0.332

=====

(10)
VASP calculation (PBE) on a relaxed structure of Ca2Tl3Hg3.

Output
The formation energy is -0.239 eV/atom. The calculation puts the offset from the most stable computed form at 62 meV per atom. The value obtained for the total moment is 0.0 μB per formula unit.

a = 15.156 Å, b = 5.539 Å, c = 5.756 Å
α = 90.00°, β = 111.66°, γ = 90.00°
Space group C2/m (No. 12)
Inequivalent atoms, fractional coordinates:
Ca  0.247  0.000  0.248
Tl  0.000  0.500  0.500
Tl  0.118  0.500  0.116
Hg  0.000  0.000  0.000
Hg  0.131  0.000  0.630

=====

(11)
VASP calculation (PBE) on a relaxed structure of CaTl12Hg7.

Output
The formation energy is -0.009 eV/atom. The value obtained for the total moment is 0.0 μB per formula unit.

a = 12.6992 Å, b = 12.6992 Å, c = 13.0973 Å
α = 90.00°, β = 90.00°, γ = 120.00°
Space group R-3 (No. 148, hexagonal axes)
Inequivalent atoms, fractional coordinates:
Ca  0.0000  0.0000  0.0000
Tl  0.0342  0.4469  0.7102
Tl  0.0571  0.8200  0.3997
Hg  0.0000  0.0000  0.5000
Hg  0.0730  0.1797  0.8056

=====

(12)
VASP calculation (PBE) on a relaxed structure of Ca4Tl5Hg3.

Output
The formation energy is -0.281 eV/atom. The value obtained for the total moment is 0.0 μB per formula unit.

a = 5.793 Å, b = 7.660 Å, c = 8.275 Å
α = 73.01°, β = 87.94°, γ = 89.55°
Space group P-1 (No. 2)
Inequivalent atoms, fractional coordinates:
Ca  0.235  0.441  0.160
Ca  0.240  0.914  0.202
Tl  0.250  0.110  0.508
Tl  0.268  0.789  0.827
Tl  0.500  0.500  0.500
Hg  0.000  0.500  0.500
Hg  0.254  0.262  0.865

=====

Question: What is the total moment in the second record?
Answer: 0.0 μB per formula unit